Entry 1:
Compound: Cs2Te5
Source: Alexandria via LeMat-Bulk
Functional: SCAN
Structure: single point on PBEsol structure

Geometry as CIF:
```
data_Cs2Te5
_chemical_formula_sum 'Cs8 Te20'
_cell_length_a 9.3680
_cell_length_b 11.8907
_cell_length_c 10.1134
_cell_angle_alpha 90.00
_cell_angle_beta 90.00
_cell_angle_gamma 90.00
_space_group_name_H-M_alt 'C m c m'
_space_group_IT_number 63
_space_group_name_Hall '-C 2c 2'
loop_
_atom_site_label
_atom_site_fract_x
_atom_site_fract_y
_atom_site_fract_z
_atom_site_occupancy
Cs1 0.0000 0.0618 0.2500 1
Cs2 0.0000 0.2944 0.7500 1
Te1 0.0000 0.3821 0.2500 1
Te2 0.2311 0.3860 0.0395 1
```

Its raw total energy is -38.078 eV per atom.

Entry 2:
Compound: BSbPd2
Source: Alexandria via LeMat-Bulk
Functional: SCAN
Structure: single point on PBEsol structure

Geometry as CIF:
```
data_BSbPd2
_chemical_formula_sum 'B4 Sb4 Pd8'
_cell_length_a 6.1828
_cell_length_b 6.1828
_cell_length_c 6.1828
_cell_angle_alpha 90.00
_cell_angle_beta 90.00
_cell_angle_gamma 90.00
_space_group_name_H-M_alt 'F m -3 m'
_space_group_IT_number 225
_space_group_name_Hall '-F 4 2 3'
loop_
_atom_site_label
_atom_site_fract_x
_atom_site_fract_y
_atom_site_fract_z
_atom_site_occupancy
B1 0.0000 0.0000 0.0000 1
Sb1 0.0000 0.0000 0.5000 1
Pd1 0.2500 0.2500 0.2500 1
```

Its raw total energy is -27.074 eV per atom.

Entry 3:
Compound: Ba2SrLi2
Source: Alexandria via LeMat-Bulk
Functional: SCAN
Structure: single point on PBEsol structure

Geometry as CIF:
```
data_Ba2SrLi2
_chemical_formula_sum 'Ba4 Sr2 Li4'
_cell_length_a 9.5182
_cell_length_b 9.5182
_cell_length_c 4.8669
_cell_angle_alpha 90.00
_cell_angle_beta 90.00
_cell_angle_gamma 90.00
_space_group_name_H-M_alt 'P 4/m b m'
_space_group_IT_number 127
_space_group_name_Hall '-P 4 2ab'
loop_
_atom_site_label
_atom_site_fract_x
_atom_site_fract_y
_atom_site_fract_z
_atom_site_occupancy
Ba1 0.1748 0.3252 0.0000 1
Sr1 0.0000 0.0000 0.5000 1
Li1 0.1163 0.6163 0.5000 1
```

Its formation energy is 0.0142 eV/atom. Its energy above the most stable polymorph in this dataset is 0.000 eV/atom. Its raw total energy is -21.217 eV per atom.

Entry 4:
Compound: TmNiSn4
Source: Alexandria via LeMat-Bulk
Functional: SCAN
Structure: single point on PBEsol structure

Geometry as CIF:
```
data_TmNiSn4
_chemical_formula_sum 'Tm4 Ni4 Sn16'
_cell_length_a 4.3318
_cell_length_b 27.9231
_cell_length_c 4.4024
_cell_angle_alpha 90.00
_cell_angle_beta 90.00
_cell_angle_gamma 90.00
_space_group_name_H-M_alt 'C m m m'
_space_group_IT_number 65
_space_group_name_Hall '-C 2 2'
loop_
_atom_site_label
_atom_site_fract_x
_atom_site_fract_y
_atom_site_fract_z
_atom_site_occupancy
Tm1 0.0000 0.1941 0.0000 1
Ni1 0.0000 0.4474 0.5000 1
Sn1 0.0000 0.0000 0.5000 1
Sn2 0.0000 0.1107 0.5000 1
Sn3 0.0000 0.2861 0.5000 1
Sn4 0.0000 0.3900 0.0000 1
Sn5 0.0000 0.5000 0.0000 1
```

Its formation energy is -0.3357 eV/atom. Its raw total energy is -35.617 eV per atom.

Entry 5:
Compound: Ba2SrSe
Source: Alexandria via LeMat-Bulk
Functional: SCAN
Structure: single point on PBEsol structure

Geometry as CIF:
```
data_Ba2SrSe
_chemical_formula_sum 'Ba4 Sr2 Se2'
_cell_length_a 7.5991
_cell_length_b 8.9355
_cell_length_c 4.4349
_cell_angle_alpha 90.00
_cell_angle_beta 90.00
_cell_angle_gamma 90.00
_space_group_name_H-M_alt 'C m m m'
_space_group_IT_number 65
_space_group_name_Hall '-C 2 2'
loop_
_atom_site_label
_atom_site_fract_x
_atom_site_fract_y
_atom_site_fract_z
_atom_site_occupancy
Ba1 0.2500 0.2500 0.0000 1
Sr1 0.0000 0.0000 0.5000 1
Se1 0.0000 0.5000 0.5000 1
```

Its energy above the most stable polymorph in this dataset is 0.501 eV/atom. Its raw total energy is -30.926 eV per atom.

Entry 6:
Compound: Y2TaOs
Source: Alexandria via LeMat-Bulk
Functional: SCAN
Structure: single point on PBEsol structure

Geometry as CIF:
```
data_Y2TaOs
_chemical_formula_sum 'Y2 Ta1 Os1'
_cell_length_a 4.0737
_cell_length_b 4.0737
_cell_length_c 4.8528
_cell_angle_alpha 90.00
_cell_angle_beta 90.00
_cell_angle_gamma 90.00
_space_group_name_H-M_alt 'P 4/m m m'
_space_group_IT_number 123
_space_group_name_Hall '-P 4 2'
loop_
_atom_site_label
_atom_site_fract_x
_atom_site_fract_y
_atom_site_fract_z
_atom_site_occupancy
Y1 0.0000 0.5000 0.0000 1
Ta1 0.0000 0.0000 0.5000 1
Os1 0.5000 0.5000 0.5000 1
```

Its formation energy is 0.3469 eV/atom. Its energy above the most stable polymorph in this dataset is 0.027 eV/atom. Its raw total energy is -48.190 eV per atom.

Entry 7:
Compound: Ho2Mg
Source: Alexandria via LeMat-Bulk
Functional: SCAN
Structure: single point on PBEsol structure

Geometry as CIF:
```
data_Ho2Mg
_chemical_formula_sum 'Ho8 Mg4'
_cell_length_a 3.5694
_cell_length_b 16.9942
_cell_length_c 5.3665
_cell_angle_alpha 90.00
_cell_angle_beta 90.00
_cell_angle_gamma 90.00
_space_group_name_H-M_alt 'C m c m'
_space_group_IT_number 63
_space_group_name_Hall '-C 2c 2'
loop_
_atom_site_label
_atom_site_fract_x
_atom_site_fract_y
_atom_site_fract_z
_atom_site_occupancy
Ho1 0.0000 0.0962 0.2500 1
Ho2 0.0000 0.2266 0.7500 1
Mg1 0.0000 0.4360 0.2500 1
```

Its formation energy is -0.0597 eV/atom. Its raw total energy is -34.376 eV per atom.

Entry 8:
Compound: LiCaMg4
Source: Alexandria via LeMat-Bulk
Functional: SCAN
Structure: single point on PBEsol structure

Geometry as CIF:
```
data_LiCaMg4
_chemical_formula_sum 'Li4 Ca4 Mg16'
_cell_length_a 8.4994
_cell_length_b 8.4994
_cell_length_c 8.4994
_cell_angle_alpha 90.00
_cell_angle_beta 90.00
_cell_angle_gamma 90.00
_space_group_name_H-M_alt 'F -4 3 m'
_space_group_IT_number 216
_space_group_name_Hall 'F -4 2 3'
loop_
_atom_site_label
_atom_site_fract_x
_atom_site_fract_y
_atom_site_fract_z
_atom_site_occupancy
Li1 0.0000 0.0000 0.0000 1
Ca1 0.2500 0.2500 0.7500 1
Mg1 0.1253 0.1253 0.3747 1
```

Its formation energy is -0.0392 eV/atom. Its raw total energy is -5.364 eV per atom.

Entry 9:
Compound: LaTl2Pb
Source: Alexandria via LeMat-Bulk
Functional: SCAN
Structure: single point on PBEsol structure

Geometry as CIF:
```
data_LaTl2Pb
_chemical_formula_sum 'La2 Tl4 Pb2'
_cell_length_a 4.7499
_cell_length_b 4.7499
_cell_length_c 9.9410
_cell_angle_alpha 90.00
_cell_angle_beta 90.00
_cell_angle_gamma 90.00
_space_group_name_H-M_alt 'I 4/m m m'
_space_group_IT_number 139
_space_group_name_Hall '-I 4 2'
loop_
_atom_site_label
_atom_site_fract_x
_atom_site_fract_y
_atom_site_fract_z
_atom_site_occupancy
La1 0.0000 0.0000 0.0000 1
Tl1 0.0000 0.5000 0.2500 1
Pb1 0.0000 0.0000 0.5000 1
```

Its formation energy is -0.4530 eV/atom. Its raw total energy is -66.354 eV per atom.

Entry 10:
Compound: Sc3Pb
Source: Alexandria via LeMat-Bulk
Functional: SCAN
Structure: single point on PBEsol structure

Geometry as CIF:
```
data_Sc3Pb
_chemical_formula_sum 'Sc6 Pb2'
_cell_length_a 3.2935
_cell_length_b 10.2622
_cell_length_c 5.4588
_cell_angle_alpha 90.00
_cell_angle_beta 90.00
_cell_angle_gamma 90.00
_space_group_name_H-M_alt 'I m m 2'
_space_group_IT_number 44
loop_
_space_group_symop_operation_xyz
'x,y,z'
'-x,-y,z'
'-x,y,z'
'x,-y,z'
'x+1/2,y+1/2,z+1/2'
'-x+1/2,-y+1/2,z+1/2'
'-x+1/2,y+1/2,z+1/2'
'x+1/2,-y+1/2,z+1/2'
loop_
_atom_site_label
_atom_site_fract_x
_atom_site_fract_y
_atom_site_fract_z
_atom_site_occupancy
Sc1 0.0000 0.0000 0.0000 1
Sc2 0.0000 0.2387 0.6502 1
Pb1 0.0000 0.5000 0.9793 1
```

Its formation energy is -0.3254 eV/atom. Its raw total energy is -29.949 eV per atom.

Entry 11:
Compound: ScAlPb2
Source: Alexandria via LeMat-Bulk
Functional: SCAN
Structure: single point on PBEsol structure

Geometry as CIF:
```
data_ScAlPb2
_chemical_formula_sum 'Sc1 Al1 Pb2'
_cell_length_a 3.4173
_cell_length_b 4.5065
_cell_length_c 6.1761
_cell_angle_alpha 90.00
_cell_angle_beta 90.00
_cell_angle_gamma 90.00
_space_group_name_H-M_alt 'P m m 2'
_space_group_IT_number 25
loop_
_space_group_symop_operation_xyz
'x,y,z'
'-x,-y,z'
'-x,y,z'
'x,-y,z'
loop_
_atom_site_label
_atom_site_fract_x
_atom_site_fract_y
_atom_site_fract_z
_atom_site_occupancy
Sc1 0.0000 0.0000 0.0000 1
Al1 0.5000 0.5000 0.2355 1
Pb1 0.0000 0.0000 0.4785 1
Pb2 0.5000 0.5000 0.7740 1
```

Its formation energy is -0.1449 eV/atom. Its raw total energy is -43.533 eV per atom.

Entry 12:
Compound: CoRuPt2
Source: Alexandria via LeMat-Bulk
Functional: SCAN
Structure: single point on PBEsol structure

Geometry as CIF:
```
data_CoRuPt2
_chemical_formula_sum 'Co2 Ru2 Pt4'
_cell_length_a 5.3176
_cell_length_b 7.6578
_cell_length_c 2.6662
_cell_angle_alpha 90.00
_cell_angle_beta 90.00
_cell_angle_gamma 90.00
_space_group_name_H-M_alt 'C m m m'
_space_group_IT_number 65
_space_group_name_Hall '-C 2 2'
loop_
_atom_site_label
_atom_site_fract_x
_atom_site_fract_y
_atom_site_fract_z
_atom_site_occupancy
Co1 0.0000 0.0000 0.0000 1
Ru1 0.0000 0.5000 0.0000 1
Pt1 0.2500 0.2500 0.5000 1
```

Its formation energy is -0.0824 eV/atom. Its energy above the most stable polymorph in this dataset is 0.000 eV/atom. Its raw total energy is -48.212 eV per atom.

Among the records above, which one has the lowest raw total energy?
LaTl2Pb

Among the records above, which one has the lowest raw total energy?
LaTl2Pb

The lowest raw total energy belongs to which entry?
LaTl2Pb

Which value of raw total energy does entry 8 give?
-5.364 eV per atom